Compound: ScGaCo2
Source: OQMD
Functional: GGA-PBE
Structure: relaxed

a b c (Å): 7.002 6.326 5.241
angles (deg): 90.00 90.00 90.00
Space group Pnma (No. 62)
One atom of each set of equivalent atoms:
Sc1 0.032 0.250 0.149 (multiplicity 4)
Ga1 0.104 0.750 0.348 (multiplicity 4)
Co1 0.188 0.053 0.585 (multiplicity 8)

Properties
- Total energy: -0.4520 Ry per atom
- M_tot: 4.8 μB per cell

---

Compound: NdMg
Source: OQMD
Functional: GGA-PBE
Structure: relaxed

a b c (Å): 6.468 6.468 6.468
angles (deg): 90.00 90.00 90.00
Space group Fm-3m (No. 225)
One atom of each set of equivalent atoms:
Nd1 0.000 0.000 0.000 (multiplicity 4)
Mg1 0.000 0.000 0.500 (multiplicity 4)

Properties
- Total energy: -0.2057 Ry per atom
- M_tot: 0.0 μB per cell

---

Compound: NaThB4
Source: OQMD
Functional: GGA-PBE
Structure: relaxed

a b c (Å): 3.2170 3.2170 8.4101
angles (deg): 90.00 90.00 120.00
Space group P6/mmm (No. 191)
One atom of each set of equivalent atoms:
Na1 0.0000 0.0000 0.0000 (multiplicity 1)
Th1 0.0000 0.0000 0.5000 (multiplicity 1)
B1 0.3333 0.6667 0.2514 (multiplicity 4)

Properties
- Total energy: -0.4339 Ry per atom
- M_tot: 0.0 μB per cell

---

Compound: ZrBeBIr
Source: OQMD
Functional: GGA-PBE
Structure: relaxed

a b c (Å): 5.803 5.803 5.803
angles (deg): 90.00 90.00 90.00
Space group F-43m (No. 216)
One atom of each set of equivalent atoms:
Zr1 0.000 0.000 0.000 (multiplicity 4)
Be1 0.250 0.250 0.250 (multiplicity 4)
B1 0.250 0.250 0.750 (multiplicity 4)
Ir1 0.000 0.000 0.500 (multiplicity 4)

Properties
- Total energy: -0.5314 Ry per atom
- M_tot: 0.0 μB per cell